This record from Alexandria describes a geometry-optimized Ba4YSi structure. The functional is PBE.

Cell: 7.2233 7.2233 7.2233 Å, 60.00 60.00 60.00°
With the nearest neighbours (Å) after each atom.
Fractional coordinates of all 6 atoms:
Ba1 0.1239 0.1239 0.1239  6 Ba 3.58-3.64
Ba2 0.1239 0.1239 0.6283  6 Ba 3.58-3.64
Ba3 0.1239 0.6283 0.1239  6 Ba 3.58-3.64
Ba4 0.6283 0.1239 0.1239  6 Ba 3.58-3.64
Y1 0.5000 0.5000 0.5000  12 Ba 4.24, 4 Si 4.42
Si1 0.7500 0.7500 0.7500  12 Ba 4.23, 4 Y 4.42

Calculated values
VASP energy ... -2.604 eV per atom
Theoretical density ... 4.2 g/cm3
Calculated volume ... 44.415 Å³/atom
Symmetry ... F-43m (216)

This record from Alexandria describes a geometry-optimized Dy3Tm structure. The functional is PBE.

Cell: 6.0969 6.0969 6.0969 Å, 131.82 131.82 70.51°
With the nearest neighbours (Å) after each atom.
Fractional coordinates of all 4 atoms:
Dy1 0.0000 0.0000 0.0000  4 Tm 3.52, 8 Dy 3.52
Dy2 0.2500 0.7500 0.5000  8 Dy 3.52, 4 Tm 3.52
Dy3 0.7500 0.2500 0.5000  8 Dy 3.52, 4 Tm 3.52
Tm1 0.5000 0.5000 0.0000  12 Dy 3.52

Calculated values
Theoretical density ... 8.8 g/cm3
Excess energy over the best structure of this formula in the dataset ... 0.016 eV per atom
Calculated volume ... 30.830 Å³/atom
Symmetry ... I4/mmm (139)

This record from Alexandria describes a geometry-optimized NaMg4Tl6 structure. The functional is PBE.

Cell: 5.9531 6.1536 8.5161 Å, 104.73 101.70 91.28°
With the nearest neighbours (Å) after each atom.
Fractional coordinates of all 11 atoms:
Na1 0.0000 0.0000 0.0000  5 Tl 3.10-3.42, 1 Mg 3.45
Mg1 0.1518 0.6270 0.6370  3 Tl 2.97-3.25, 2 Mg 3.28-3.32
Mg2 0.3080 0.5162 0.2786  6 Tl 3.05-3.30, 3 Mg 3.24-3.41
Mg3 0.8395 0.7656 0.3127  6 Tl 3.01-3.32, 3 Mg 3.09-3.32
Mg4 0.8630 0.1500 0.6307  4 Tl 3.01-3.36, 2 Mg 3.09-3.35
Tl1 0.3116 0.0672 0.4208  5 Mg 3.17-3.48, 2 Tl 3.33-3.44
Tl2 0.4196 0.1877 0.8339  6 Tl 3.33-3.67, 3 Mg 3.39-3.60, 1 Na 3.42
Tl3 0.4691 0.7540 0.0106  3 Mg 3.01-3.29, 1 Na 3.20, 2 Tl 3.32-3.37
Tl4 0.6477 0.6660 0.6301  5 Mg 2.97-3.32
Tl5 0.7611 0.2667 0.2843  4 Mg 3.04-3.19, 1 Na 3.17
Tl6 0.9407 0.4874 0.9649  3 Mg 3.01-3.20, 2 Na 3.10-3.11, 1 Tl 3.32

Calculated values
Theoretical density ... 7.6 g/cm3
Excess energy over the best structure of this formula in the dataset ... 0.000 eV per atom
Calculated volume ... 26.777 Å³/atom
Symmetry ... P1 (1)

This record from Alexandria describes a geometry-optimized AcSn2Bi2 structure. The functional is PBE.

Cell: 13.9885 13.9885 4.8675 Å, 90.00 90.00 160.33°
With the nearest neighbours (Å) after each atom.
Fractional coordinates of all 10 atoms:
Ac1 0.1516 0.8484 0.7500  8 Bi 3.45-3.63, 4 Sn 3.82
Ac2 0.8484 0.1516 0.2500  8 Bi 3.45-3.63, 4 Sn 3.82
Sn1 0.0447 0.9553 0.2500  8 Sn 3.41-3.46, 2 Bi 3.43
Sn2 0.4564 0.5436 0.2500  8 Sn 3.41-3.42, 2 Bi 3.48, 2 Ac 3.82
Sn3 0.5436 0.4564 0.7500  8 Sn 3.41-3.42, 2 Bi 3.48, 2 Ac 3.82
Sn4 0.9553 0.0447 0.7500  8 Sn 3.41-3.46, 2 Bi 3.43
Bi1 0.2495 0.7505 0.2500  4 Bi 3.41, 4 Ac 3.62-3.63
Bi2 0.3661 0.6339 0.7500  4 Sn 3.43-3.48, 4 Ac 3.45
Bi3 0.6339 0.3661 0.2500  4 Sn 3.43-3.48, 4 Ac 3.45
Bi4 0.7505 0.2495 0.7500  4 Bi 3.41, 4 Ac 3.62-3.63

Calculated values
VASP energy ... -4.355 eV per atom
Theoretical density ... 9.1 g/cm3
Calculated volume ... 32.053 Å³/atom
Symmetry ... Cmcm (63)

This record from Alexandria describes a geometry-optimized Ca2PrHo structure. The functional is PBE.

Cell: 13.3806 13.3806 13.3806 Å, 15.47 15.47 15.47°
With the nearest neighbours (Å) after each atom.
Fractional coordinates of all 4 atoms:
Ca1 0.0865 0.0865 0.0865  1 Ho 3.43, 6 Ca 3.60, 3 Pr 3.80
Ca2 0.9135 0.9135 0.9135  1 Ho 3.43, 6 Ca 3.60, 3 Pr 3.80
Pr1 0.5000 0.5000 0.5000  6 Pr 3.60, 6 Ca 3.80
Ho1 0.0000 0.0000 0.0000  2 Ca 3.43, 6 Ho 3.60

Calculated values
Theoretical density ... 4.3 g/cm3
Excess energy over the best structure of this formula in the dataset ... 0.133 eV per atom
Calculated volume ... 37.146 Å³/atom
Symmetry ... R-3m (166)

This record from Alexandria describes a geometry-optimized Li2OsCSe structure. The functional is PBE.

Cell: 4.1305 4.1305 3.9066 Å, 90.00 90.00 90.00°
With the nearest neighbours (Å) after each atom.
Fractional coordinates of all 5 atoms:
Li1 0.0000 0.5000 0.0000  2 C 2.07
Li2 0.5000 0.0000 0.0000  2 C 2.07
Os1 0.0000 0.0000 0.5000  2 C 1.95
C1 0.0000 0.0000 0.0000  2 Os 1.95, 4 Li 2.07
Se1 0.5000 0.5000 0.5000  8 Li 2.84, 4 Os 2.92

Calculated values
VASP energy ... -5.482 eV per atom
Theoretical density ... 7.4 g/cm3
Calculated volume ... 13.330 Å³/atom
Symmetry ... P4/mmm (123)

This record from Alexandria describes a geometry-optimized Ba2ZrSe structure. The functional is PBE.

Cell: 5.7700 5.7700 4.1915 Å, 90.00 90.00 90.00°
With the nearest neighbours (Å) after each atom.
Fractional coordinates of all 4 atoms:
Ba1 0.0000 0.5000 0.0000  4 Zr 3.57, 4 Se 3.57
Ba2 0.5000 0.0000 0.0000  4 Zr 3.57, 4 Se 3.57
Zr1 0.0000 0.0000 0.5000  8 Ba 3.57
Se1 0.5000 0.5000 0.5000  8 Ba 3.57

Calculated values
VASP energy ... -4.116 eV per atom
Theoretical density ... 5.3 g/cm3
Calculated volume ... 34.886 Å³/atom
Symmetry ... P4/mmm (123)

What did the third record say?
This record from Alexandria describes a geometry-optimized NaMg4Tl6 structure. The functional is PBE.

Cell: 5.9531 6.1536 8.5161 Å, 104.73 101.70 91.28°
With the nearest neighbours (Å) after each atom.
Fractional coordinates of all 11 atoms:
Na1 0.0000 0.0000 0.0000  5 Tl 3.10-3.42, 1 Mg 3.45
Mg1 0.1518 0.6270 0.6370  3 Tl 2.97-3.25, 2 Mg 3.28-3.32
Mg2 0.3080 0.5162 0.2786  6 Tl 3.05-3.30, 3 Mg 3.24-3.41
Mg3 0.8395 0.7656 0.3127  6 Tl 3.01-3.32, 3 Mg 3.09-3.32
Mg4 0.8630 0.1500 0.6307  4 Tl 3.01-3.36, 2 Mg 3.09-3.35
Tl1 0.3116 0.0672 0.4208  5 Mg 3.17-3.48, 2 Tl 3.33-3.44
Tl2 0.4196 0.1877 0.8339  6 Tl 3.33-3.67, 3 Mg 3.39-3.60, 1 Na 3.42
Tl3 0.4691 0.7540 0.0106  3 Mg 3.01-3.29, 1 Na 3.20, 2 Tl 3.32-3.37
Tl4 0.6477 0.6660 0.6301  5 Mg 2.97-3.32
Tl5 0.7611 0.2667 0.2843  4 Mg 3.04-3.19, 1 Na 3.17
Tl6 0.9407 0.4874 0.9649  3 Mg 3.01-3.20, 2 Na 3.10-3.11, 1 Tl 3.32

Calculated values
Theoretical density ... 7.6 g/cm3
Excess energy over the best structure of this formula in the dataset ... 0.000 eV per atom
Calculated volume ... 26.777 Å³/atom
Symmetry ... P1 (1)